1.
Entry from Alexandria via LeMat-Bulk: an optimized crystal structure of Pu5Np3S8 (GGA-PBE).

The structure in POSCAR format:
```
Pu5Np3S8
1.0
3.946 2.278 6.453
-3.946 2.278 6.453
0.000 -4.557 6.453
Pu Np S
5 3 8
Cartesian
0.000 0.000 0.000 Pu
-1.973 -1.139 6.453 Pu
-1.973 1.139 12.906 Pu
0.000 2.278 6.453 Pu
0.000 0.000 9.680 Pu
-3.946 0.000 9.680 Np
-1.973 1.139 3.227 Np
1.973 1.139 3.227 Np
-1.982 -1.144 11.278 S
0.000 0.000 4.818 S
0.000 -2.289 8.082 S
-1.982 1.144 8.082 S
1.982 -1.144 11.278 S
0.000 2.289 11.278 S
0.000 0.000 14.541 S
1.982 1.144 8.082 S
```

## Properties
symmetry: No. 166
formation energy without anion corrections: -1.60 eV per atom



2.
Entry from Alexandria via LeMat-Bulk: an optimized crystal structure of NiIrRh4 (GGA-PBE).

The structure in POSCAR format:
```
NiIrRh4
1.0
0.000 3.561 3.561
3.561 0.000 3.561
3.561 3.561 0.000
Ni Ir Rh
1 1 4
Cartesian
0.000 0.000 0.000 Ni
5.342 5.342 5.342 Ir
2.670 2.670 2.670 Rh
4.452 4.452 2.670 Rh
4.452 2.670 4.452 Rh
2.670 4.452 4.452 Rh
```

## Properties
symmetry: No. 216
energy relative to the lowest polymorph listed for this composition: 548 meV per atom
energy relative to the elements: 585 meV/atom



3.
Entry from Alexandria via LeMat-Bulk: an optimized crystal structure of TcAg2BiIr (GGA-PBE).

The structure in POSCAR format:
```
TcAg2BiIr
1.0
5.127 0.000 0.000
0.000 5.127 0.000
0.000 0.000 4.631
Tc Ag Bi Ir
1 2 1 1
Cartesian
0.000 0.000 0.000 Tc
0.000 2.563 2.315 Ag
2.563 0.000 2.315 Ag
2.563 2.563 0.000 Bi
0.000 0.000 2.315 Ir
```

## Properties
symmetry: No. 123
energy relative to the elements: 1064 meV/atom



4.
Entry from Alexandria via LeMat-Bulk: an optimized crystal structure of YReMoPd2 (GGA-PBE).

The structure in POSCAR format:
```
YReMoPd2
1.0
4.855 0.000 0.000
0.000 4.855 0.000
0.000 0.000 4.688
Y Re Mo Pd
1 1 1 2
Cartesian
0.000 0.000 0.000 Y
2.428 2.428 0.000 Re
2.428 2.428 2.344 Mo
0.000 2.428 2.344 Pd
2.428 0.000 2.344 Pd
```

## Properties
symmetry: No. 123
energy relative to the lowest polymorph listed for this composition: 47 meV per atom
energy relative to the elements: 711 meV/atom



5.
Entry from Alexandria via LeMat-Bulk: an optimized crystal structure of RbSrTaTe2 (GGA-PBE).

The structure in POSCAR format:
```
RbSrTaTe2
1.0
6.084 0.000 0.000
0.000 6.084 0.000
0.000 0.000 6.006
Rb Sr Ta Te
1 1 1 2
Cartesian
0.000 0.000 0.000 Rb
0.000 0.000 3.003 Sr
3.042 3.042 0.000 Ta
0.000 3.042 3.003 Te
3.042 0.000 3.003 Te
```

## Properties
symmetry: No. 123
formation energy without anion corrections: 1.01 eV per atom



6.
Entry from Alexandria via LeMat-Bulk: an optimized crystal structure of YSbOs3 (GGA-PBE).

The structure in POSCAR format:
```
YSbOs3
1.0
4.824 0.000 0.000
0.000 4.824 0.000
0.000 0.000 4.824
Y Sb Os
1 1 3
Cartesian
0.000 0.000 0.000 Y
2.412 2.412 2.412 Sb
0.000 2.412 2.412 Os
2.412 0.000 2.412 Os
2.412 2.412 0.000 Os
```

## Properties
symmetry: No. 221
energy relative to the lowest polymorph listed for this composition: 0 meV per atom
formation energy without anion corrections: 1.47 eV per atom